No. 1
Rb3TlAu8 after structural relaxation, computed with GGA-PBE.

Summary:
Energy   -0.102 Ha/atom

a b c (Å): 5.9631 5.9631 28.3074
angles (deg): 90.00 90.00 120.00
Space group R3m (No. 160, hexagonal axes)
Asymmetric unit:
Rb: 0.0000 0.0000 0.0000
Rb: 0.0000 0.0000 0.1255
Rb: 0.0000 0.0000 0.6246
Tl: 0.0000 0.0000 0.4997
Au: 0.0000 0.0000 0.3125
Au: 0.0000 0.0000 0.8131
Au: 0.0039 0.5020 0.0651
Au: 0.1676 0.3352 0.8943

=====

No. 2
Rb12TlAu5 after structural relaxation, computed with GGA-PBE.

Summary:
Energy   -0.068 Ha/atom

a b c (Å): 11.606 11.995 12.827
angles (deg): 90.00 90.00 90.00
Space group Immm (No. 71)
Asymmetric unit:
Rb: 0.000 0.191 0.223
Rb: 0.191 0.500 0.169
Rb: 0.212 0.321 0.500
Tl: 0.000 0.000 0.500
Au: 0.000 0.000 0.000
Au: 0.000 0.368 0.000
Au: 0.000 0.500 0.387

=====

No. 3
RbTl3Au after structural relaxation, computed with GGA-PBE.

Summary:
Energy   -0.049 Ha/atom

a b c (Å): 6.549 6.549 6.549
angles (deg): 90.00 90.00 90.00
Space group Pm-3m (No. 221)
Asymmetric unit:
Rb: 0.000 0.000 0.000
Tl: 0.000 0.000 0.500
Au: 0.500 0.500 0.500